The following is a PBE+U calculation of crystalline SrCoSeO at its relaxed geometry, from the Open Quantum Materials Database.

Output
As for the electronic total energy: -4.98 eV per atom.

The structure in CIF format:
```
data_SrCoSeO
_chemical_formula_sum 'Sr2 Co2 Se2 O2'
_space_group_name_H-M_alt 'P 4/n m m'
_space_group_IT_number 129
_cell_length_a 4.3792
_cell_length_b 4.3792
_cell_length_c 8.1119
_cell_angle_alpha 90.00
_cell_angle_beta 90.00
_cell_angle_gamma 90.00
loop_
_space_group_symop_operation_xyz
'x,y,z'
'-x,-y,-z'
'-y+1/2,x,z'
'y+1/2,-x,-z'
'-x+1/2,-y+1/2,z'
'x+1/2,y+1/2,-z'
'y,-x+1/2,z'
'-y,x+1/2,-z'
'x+1/2,-y,-z'
'-x+1/2,y,z'
'-y,-x,-z'
'y,x,z'
'-x,y+1/2,-z'
'x,-y+1/2,z'
'y+1/2,x+1/2,-z'
'-y+1/2,-x+1/2,z'
loop_
_atom_site_label
_atom_site_fract_x
_atom_site_fract_y
_atom_site_fract_z
_atom_site_occupancy
Sr1 0.2500 0.2500 0.1754 1
Co1 0.2500 0.2500 0.6634 1
Se1 0.2500 0.7500 0.5000 1
O1 0.2500 0.2500 0.8892 1
```